Density functional theory data (PBE) for a geometry-optimized Hf2VPtN structure.

Values from the calculation:
Fermi-level density of states: 0.42 states/eV per atom
total magnetization: 0.0 μB per formula unit
DFT total energy: -48.885 eV/f.u.
symmetry: No. 123

a b c (Å): 4.430 4.430 3.868
angles (deg): 90.00 90.00 90.00
Positions (direct):
1 Pt 0.500 0.500 0.500
2 N 0.000 0.000 0.000
3 V 0.000 0.000 0.500
4 Hf 0.000 0.500 0.000
5 Hf 0.500 0.000 0.000